First-principles (GGA-PBE) data for an optimized crystal structure of PaIn2Ga, as listed in the Alexandria database.

Summary:
Crystal system   orthorhombic
E_form   -0.0820 eV per atom
Total moment   1.17 Bohr magnetons per cell
Excess energy over the best structure of this formula in the dataset   102 meV per atom

Cell: 4.327 4.350 10.061 Å, 90.00 90.00 90.00°
Space group Immm (No. 71)
Inequivalent atoms, fractional coordinates:
Pa: 0.000 0.000 0.000 x2
In: 0.000 0.500 0.249 x4
Ga: 0.000 0.000 0.500 x2